# SrCd3H (PBE-GGA, relaxed)
# total energy = -1.46 eV per atom
# density = 5.93 g cm⁻³
data_SrCd3H
_chemical_formula_sum 'Sr1 Cd3 H1'
_symmetry_space_group_name_H-M 'P m -3 m'
_symmetry_Int_Tables_number 221
_symmetry_space_group_name_Hall '-P 4 2 3'
_cell_length_a 4.923
_cell_length_b 4.923
_cell_length_c 4.923
_cell_angle_alpha 90.00
_cell_angle_beta 90.00
_cell_angle_gamma 90.00
loop_
_atom_site_label
_atom_site_fract_x
_atom_site_fract_y
_atom_site_fract_z
_atom_site_occupancy
Sr1 0.000 0.000 0.000 1
Cd1 0.000 0.500 0.500 1
H1 0.500 0.500 0.500 1


# Sr2Cd2H (PBE-GGA, relaxed)
# total energy = -1.60 eV per atom
# density = 4.06 g cm⁻³
data_Sr2Cd2H
_chemical_formula_sum 'Sr4 Cd4 H2'
_symmetry_space_group_name_H-M 'P 4/m b m'
_symmetry_Int_Tables_number 127
_symmetry_space_group_name_Hall '-P 4 2ab'
_cell_length_a 8.470
_cell_length_b 8.470
_cell_length_c 4.574
_cell_angle_alpha 90.00
_cell_angle_beta 90.00
_cell_angle_gamma 90.00
loop_
_atom_site_label
_atom_site_fract_x
_atom_site_fract_y
_atom_site_fract_z
_atom_site_occupancy
Sr1 0.174 0.326 0.000 1
Cd1 0.125 0.625 0.500 1
H1 0.000 0.000 0.500 1


# Sr2CdH2 (PBE-GGA, relaxed)
# total energy = -2.62 eV per atom
# density = 4.09 g cm⁻³
data_Sr2CdH2
_chemical_formula_sum 'Sr4 Cd2 H4'
_symmetry_space_group_name_H-M 'I 4/m m m'
_symmetry_Int_Tables_number 139
_symmetry_space_group_name_Hall '-I 4 2'
_cell_length_a 4.123
_cell_length_b 4.123
_cell_length_c 13.828
_cell_angle_alpha 90.00
_cell_angle_beta 90.00
_cell_angle_gamma 90.00
loop_
_atom_site_label
_atom_site_fract_x
_atom_site_fract_y
_atom_site_fract_z
_atom_site_occupancy
Sr1 0.000 0.000 0.152 1
Cd1 0.000 0.000 0.500 1
H1 0.000 0.500 0.250 1


# Sr4CdH (PBE-GGA, relaxed)
# total energy = -2.02 eV per atom
# density = 3.22 g cm⁻³
data_Sr4CdH
_chemical_formula_sum 'Sr8 Cd2 H2'
_symmetry_space_group_name_H-M 'P 1 21/m 1'
_symmetry_Int_Tables_number 11
_cell_length_a 6.706
_cell_length_b 10.556
_cell_length_c 6.802
_cell_angle_alpha 90.00
_cell_angle_beta 97.00
_cell_angle_gamma 90.00
loop_
_symmetry_equiv_pos_as_xyz
'x,y,z'
'-x,-y,-z'
'-x,y+1/2,-z'
'x,-y+1/2,z'
loop_
_atom_site_label
_atom_site_fract_x
_atom_site_fract_y
_atom_site_fract_z
_atom_site_occupancy
Sr1 0.160 0.250 0.275 1
Sr2 0.236 0.750 0.353 1
Sr3 0.270 0.049 0.782 1
Cd1 0.384 0.750 0.894 1
H1 0.129 0.250 0.631 1


# Sr2CdH2 (PBE-GGA, relaxed)
# total energy = -2.34 eV per atom
# density = 4.48 g cm⁻³
data_Sr2CdH2
_chemical_formula_sum 'Sr4 Cd2 H4'
_symmetry_space_group_name_H-M 'P 4/m b m'
_symmetry_Int_Tables_number 127
_symmetry_space_group_name_Hall '-P 4 2ab'
_cell_length_a 7.790
_cell_length_b 7.790
_cell_length_c 3.541
_cell_angle_alpha 90.00
_cell_angle_beta 90.00
_cell_angle_gamma 90.00
loop_
_atom_site_label
_atom_site_fract_x
_atom_site_fract_y
_atom_site_fract_z
_atom_site_occupancy
Sr1 0.174 0.326 0.000 1
Cd1 0.000 0.000 0.500 1
H1 0.121 0.621 0.500 1


# Sr2Cd2H (PBE-GGA, relaxed)
# total energy = -1.50 eV per atom
# density = 4.11 g cm⁻³
data_Sr2Cd2H
_chemical_formula_sum 'Sr4 Cd4 H2'
_symmetry_space_group_name_H-M 'I 4/m m m'
_symmetry_Int_Tables_number 139
_symmetry_space_group_name_Hall '-I 4 2'
_cell_length_a 6.597
_cell_length_b 6.597
_cell_length_c 7.446
_cell_angle_alpha 90.00
_cell_angle_beta 90.00
_cell_angle_gamma 90.00
loop_
_atom_site_label
_atom_site_fract_x
_atom_site_fract_y
_atom_site_fract_z
_atom_site_occupancy
Sr1 0.000 0.500 0.250 1
Cd1 0.000 0.000 0.192 1
H1 0.000 0.000 0.500 1


The lowest total energy belongs to which entry?
number 3